Entry 1:
# Ac8Os3I3N

A relaxed Ac8Os3I3N crystal (GGA-PBE, Alexandria).

Unit cell a=14.848 b=8.573 c=10.078 alpha=90.00 beta=119.49 gamma=90.00
Space group C2/m (No. 12)
Inequivalent atoms, fractional coordinates:
Ac1 0.022 0.238 0.329 [8 per cell]
Ac2 0.216 0.000 0.671 [4 per cell]
Ac3 0.230 0.500 0.689 [4 per cell]
Os1 0.000 0.500 0.500 [2 per cell]
Os2 0.250 0.250 0.500 [4 per cell]
I1 0.000 0.000 0.000 [2 per cell]
I2 0.250 0.250 0.000 [4 per cell]
N1 0.000 0.000 0.500 [2 per cell]

Calculated values
Uncorrected energy (eV per cell): -175.61
Size of the total moment (μB/f.u.): 0.6
E_form (uncorrected) (meV/atom): -552

=====

Entry 2:
# Pr2Ho6Th

A relaxed Pr2Ho6Th crystal (GGA-PBE, Alexandria).

Unit cell a=10.598 b=17.637 c=6.259 alpha=90.00 beta=94.89 gamma=90.00
Space group C2/c (No. 15)
Inequivalent atoms, fractional coordinates:
Pr1 0.250 0.097 0.000 [8 per cell]
Ho1 0.084 0.082 0.502 [8 per cell]
Ho2 0.084 0.418 0.502 [8 per cell]
Ho3 0.157 0.250 0.278 [8 per cell]
Th1 0.000 0.250 0.750 [4 per cell]

Calculated values
Energy of formation (eV/f.u.): 1.1
Uncorrected energy (eV per cell): -173.49
Energy relative to the lowest polymorph listed for this composition (eV/atom): 0.053
Size of the total moment (μB/f.u.): 0.0

=====

Entry 3:
# BaLiGa2Os

A relaxed BaLiGa2Os crystal (GGA-PBE, Alexandria).

Unit cell a=4.862 b=4.862 c=5.062 alpha=90.00 beta=90.00 gamma=90.00
Space group P4/mmm (No. 123)
Inequivalent atoms, fractional coordinates:
Ba1 0.000 0.000 0.000 [1 per cell]
Li1 0.500 0.500 0.000 [1 per cell]
Ga1 0.000 0.500 0.500 [2 per cell]
Os1 0.500 0.500 0.500 [1 per cell]

Calculated values
Energy of formation (eV/f.u.): -1.0
Uncorrected energy (eV per cell): -22.13
Size of the total moment (μB/f.u.): 0.0

=====

Entry 4:
# Ho6InAg5

A relaxed Ho6InAg5 crystal (GGA-PBE, Alexandria).

Unit cell a=5.131 b=15.391 c=7.361 alpha=90.00 beta=90.00 gamma=90.00
Space group Cmmm (No. 65)
Inequivalent atoms, fractional coordinates:
Ho1 0.000 0.000 0.241 [4 per cell]
Ho2 0.000 0.331 0.247 [8 per cell]
In1 0.000 0.500 0.500 [2 per cell]
Ag1 0.000 0.161 0.500 [4 per cell]
Ag2 0.000 0.167 0.000 [4 per cell]
Ag3 0.000 0.500 0.000 [2 per cell]

Calculated values
Energy of formation (eV/f.u.): -4.2
Uncorrected energy (eV per cell): -97.27
Size of the total moment (μB/f.u.): 0.0

=====

Entry 5:
# Sr2ZnCu

A relaxed Sr2ZnCu crystal (GGA-PBE, Alexandria).

Unit cell a=7.670 b=4.432 c=8.195 alpha=90.00 beta=107.95 gamma=90.00
Space group Cm (No. 8)
Inequivalent atoms, fractional coordinates:
Sr1 0.000 0.000 0.000 [2 per cell]
Sr2 0.172 0.000 0.521 [2 per cell]
Zn1 0.419 0.000 0.261 [2 per cell]
Cu1 0.253 0.500 0.261 [2 per cell]

Calculated values
Energy of formation (eV/f.u.): -0.7
Uncorrected energy (eV per cell): -18.78
Size of the total moment (μB/f.u.): 0.0

=====

Entry 6:
# AcTeS

A relaxed AcTeS crystal (GGA-PBE, Alexandria).

Unit cell a=4.148 b=4.148 c=10.826 alpha=90.00 beta=90.00 gamma=90.00
Space group I4mm (No. 107)
Inequivalent atoms, fractional coordinates:
Ac1 0.000 0.000 0.000 [2 per cell]
Te1 0.000 0.000 0.327 [2 per cell]
S1 0.000 0.000 0.595 [2 per cell]

Calculated values
Uncorrected energy (eV per cell): -30.56
Energy relative to the lowest polymorph listed for this composition (eV/atom): 0.359
Size of the total moment (μB/f.u.): 0.0
E_form (uncorrected) (meV/atom): -1301